Below is a relaxed SmDyEr4Tm2 crystal, with properties calculated at the GGA-PBE level.

ΔH_f (0 K): 43.6 kJ/mol of atoms
VASP energy: -32.9 eV per formula unit
calculated density: 8.456 g/cm³
SG: Imma (74)

abc: 9.4321 9.4321 9.4321
angles: 138.21 103.65 91.05
Closest atoms and distances in Å follow each position.
Positions (direct):
Sm  0.0000  0.0000  0.0000  6 Er 3.34-3.37, 2 Tm 3.36
Sm  0.5000  0.0000  0.5000  6 Er 3.34-3.37, 2 Tm 3.36
Dy  0.5000  0.0000  0.0000  6 Er 3.33-3.38, 2 Dy 3.36
Dy  0.5000  0.5000  0.5000  6 Er 3.33-3.38, 2 Dy 3.36
Er  0.2459  0.7473  0.4986  3 Tm 3.27-3.35, 1 Sm 3.34, 2 Er 3.36, 2 Dy 3.38
Er  0.2483  0.2499  0.5015  3 Tm 3.28-3.36, 1 Dy 3.33, 2 Er 3.34-3.38, 2 Sm 3.37
Er  0.2483  0.7468  0.9985  3 Tm 3.28-3.36, 1 Dy 3.33, 2 Er 3.34-3.38, 2 Sm 3.37
Er  0.2514  0.2527  0.9986  3 Tm 3.27-3.35, 1 Sm 3.34, 2 Er 3.36, 2 Dy 3.38
Er  0.7486  0.7473  0.0014  3 Tm 3.27-3.35, 1 Sm 3.34, 2 Er 3.36, 2 Dy 3.38
Er  0.7517  0.2532  0.0015  3 Tm 3.28-3.36, 1 Dy 3.33, 2 Er 3.34-3.38, 2 Sm 3.37
Er  0.7517  0.7501  0.4985  3 Tm 3.28-3.36, 1 Dy 3.33, 2 Er 3.34-3.38, 2 Sm 3.37
Er  0.7541  0.2527  0.5014  3 Tm 3.27-3.35, 1 Sm 3.34, 2 Er 3.36, 2 Dy 3.38
Tm  0.0000  0.0000  0.5000  6 Er 3.28-3.35, 2 Tm 3.36
Tm  0.0000  0.5000  0.0000  6 Er 3.28-3.35, 2 Tm 3.36
Tm  0.0000  0.5000  0.5000  6 Er 3.27-3.36, 2 Sm 3.36
Tm  0.5000  0.5000  0.0000  6 Er 3.27-3.36, 2 Sm 3.36